Entry from Alexandria: crystalline Pr4Ru at its relaxed geometry (PBE).

a b c (Å): 7.9045 7.9045 7.9045
angles (deg): 60.00 60.00 60.00
Sites, in units of the cell vectors:
Pr  0.8631  0.8631  0.8631
Pr  0.8631  0.4108  0.8631
Pr  0.8631  0.8631  0.4108
Pr  0.3869  0.8392  0.3869
Pr  0.3869  0.3869  0.3869
Pr  0.4108  0.8631  0.8631
Pr  0.3869  0.3869  0.8392
Pr  0.8392  0.3869  0.3869
Ru  0.2500  0.2500  0.2500
Ru  0.0000  0.0000  0.0000

Computed properties:
polymorph energy (0 for the lowest one)	0.338	eV per atom
total moment	0.00	μB/cell
calculated formation energy	0.28	eV per atom
E_tot	-5.40	eV/atom
volume	349	Å³ per cell